FeSiHg2 (PBE, relaxed); ΔE_f (raw) = 0.59 eV per atom; E_tot = -12.15 eV for the cell shown
1.0
-3.035 -3.877 -1.242
2.174 2.272 -3.987
2.441 -1.979 0.200
Fe Hg Si
1 2 1
Direct
0.000 0.500 0.500 Fe
0.000 0.000 0.000 Hg
0.500 0.500 0.000 Hg
0.500 0.000 0.500 Si